1.
Here is a relaxed structure of ScZnGe2 from Alexandria. Energies are from GGA-PBE.

a = 4.2227 Å, b = 4.2227 Å, c = 3.9192 Å
α = 90.00°, β = 90.00°, γ = 90.00°
With the nearest neighbours (Å) after each atom.
Space group P4/mmm (No. 123)
Unique sites:
Sc (0.0000, 0.0000, 0.0000)  8 Ge 2.88, 4 Zn 2.99
Zn (0.5000, 0.5000, 0.0000)  8 Ge 2.88, 4 Sc 2.99
Ge (0.0000, 0.5000, 0.5000)  4 Sc 2.88, 4 Zn 2.88, 4 Ge 2.99

## Properties
The calculation puts the energy relative to the elements at -1.55 eV/f.u.


2.
Here is a relaxed structure of Ac3In2Hg4Bi2 from Alexandria. Energies are from GGA-PBE.

a = 4.8640 Å, b = 4.8640 Å, c = 29.5651 Å
α = 90.00°, β = 90.00°, γ = 90.00°
With the nearest neighbours (Å) after each atom.
Space group I4/mmm (No. 139)
Unique sites:
Ac (0.0000, 0.0000, 0.0000)  8 In 3.71, 8 Hg 3.92
Ac (0.0000, 0.0000, 0.1920)  5 Bi 3.42-3.44, 4 Hg 3.56
In (0.0000, 0.0000, 0.4532)  1 In 2.77, 4 Hg 2.96
Hg (0.0000, 0.5000, 0.1041)  2 In 2.96
Bi (0.0000, 0.0000, 0.3077)  5 Ac 3.42-3.44, 4 Hg 3.57

## Properties
The calculation puts the energy relative to the elements at -4.61 eV/f.u.


3.
Here is a relaxed structure of U2Sb3Pd from Alexandria. Energies are from GGA-PBE.

a = 4.3500 Å, b = 6.1773 Å, c = 11.9708 Å
α = 90.00°, β = 90.00°, γ = 90.00°
With the nearest neighbours (Å) after each atom.
Space group Immm (No. 71)
Unique sites:
U (0.0000, 0.0000, 0.1838)  6 Sb 3.05-3.14
Sb (0.0000, 0.5000, 0.1377)  2 Pd 2.73, 2 U 3.05
Sb (0.0000, 0.5000, 0.5000)  2 Pd 3.09, 4 U 3.09
Pd (0.0000, 0.0000, 0.5000)  4 Sb 2.73

## Properties
The value obtained for the uncorrected formation energy is -0.092 eV/atom.


4.
Here is a relaxed structure of TbHo2Cu from Alexandria. Energies are from GGA-PBE.

a = 4.8975 Å, b = 11.5544 Å, c = 7.5051 Å
α = 90.00°, β = 90.00°, γ = 90.00°
With the nearest neighbours (Å) after each atom.
Space group Cmcm (No. 63)
Unique sites:
Tb (0.0000, 0.0446, 0.2500)  1 Cu 2.84
Ho (0.0000, 0.3518, 0.0318)  3 Cu 2.74-3.01
Cu (0.0000, 0.2011, 0.7500)  6 Ho 2.74-3.01, 1 Tb 2.84

## Properties
The energy above the lowest structure with this stoichiometry comes out at 39 meV per atom. The calculation puts the energy relative to the elements at -0.28 eV/f.u.